# 1
A plane-wave DFT calculation with GGA-PBEsol was carried out for a geometry-optimized YTlIn2 structure.

Properties
ΔE_f ... -0.147 eV/atom
Magnetization ... 0.00 Bohr magnetons per cell
Uncorrected energy ... -4.002 eV per atom

```
data_YTlIn2
_chemical_formula_sum 'Y3 Tl3 In6'
_space_group_name_H-M_alt 'R -3 m'
_space_group_IT_number 166
_space_group_name_Hall '-R 3 2"'
_cell_length_a 3.4544
_cell_length_b 3.4544
_cell_length_c 30.7673
_cell_angle_alpha 90.00
_cell_angle_beta 90.00
_cell_angle_gamma 120.00
loop_
_atom_site_label
_atom_site_type_symbol
_atom_site_fract_x
_atom_site_fract_y
_atom_site_fract_z
Y1 Y 0.0000 0.0000 0.0000
Tl1 Tl 0.0000 0.0000 0.5000
In1 In 0.0000 0.0000 0.2501
```

=====

# 2
A plane-wave DFT calculation with GGA-PBEsol was carried out for a geometry-optimized CoRh2 structure.

Properties
ΔE_f ... 0.071 eV/atom
Magnetization ... 7.03 Bohr magnetons per cell
Uncorrected energy ... -7.934 eV per atom

```
data_CoRh2
_chemical_formula_sum 'Co4 Rh8'
_space_group_name_H-M_alt 'C 1 2/m 1'
_space_group_IT_number 12
_cell_length_a 13.419
_cell_length_b 2.627
_cell_length_c 4.495
_cell_angle_alpha 90.00
_cell_angle_beta 108.66
_cell_angle_gamma 90.00
loop_
_space_group_symop_operation_xyz
'x,y,z'
'-x,-y,-z'
'-x,y,-z'
'x,-y,z'
'x+1/2,y+1/2,z'
'-x+1/2,-y+1/2,-z'
'-x+1/2,y+1/2,-z'
'x+1/2,-y+1/2,z'
loop_
_atom_site_label
_atom_site_type_symbol
_atom_site_fract_x
_atom_site_fract_y
_atom_site_fract_z
Co1 Co 0.081 0.000 0.245
Rh1 Rh 0.080 0.500 0.751
Rh2 Rh 0.248 0.500 0.252
```

=====

# 3
A plane-wave DFT calculation with GGA-PBEsol was carried out for a geometry-optimized CaBeSCl2 structure.

Properties
Magnetization ... 0.00 Bohr magnetons per cell
Uncorrected energy ... -4.247 eV per atom

```
data_CaBeSCl2
_chemical_formula_sum 'Ca1 Be1 S1 Cl2'
_space_group_name_H-M_alt 'P 4/m m m'
_space_group_IT_number 123
_space_group_name_Hall '-P 4 2'
_cell_length_a 4.389
_cell_length_b 4.389
_cell_length_c 4.725
_cell_angle_alpha 90.00
_cell_angle_beta 90.00
_cell_angle_gamma 90.00
loop_
_atom_site_label
_atom_site_type_symbol
_atom_site_fract_x
_atom_site_fract_y
_atom_site_fract_z
Ca1 Ca 0.000 0.000 0.000
Be1 Be 0.500 0.500 0.500
S1 S 0.500 0.500 0.000
Cl1 Cl 0.000 0.500 0.500
```

=====

# 4
A plane-wave DFT calculation with GGA-PBEsol was carried out for a geometry-optimized Cd2SbBr structure.

Properties
Magnetization ... 0.00 Bohr magnetons per cell
Uncorrected energy ... -2.450 eV per atom

```
data_Cd2SbBr
_chemical_formula_sum 'Cd8 Sb4 Br4'
_space_group_name_H-M_alt 'I -4 2 d'
_space_group_IT_number 122
_space_group_name_Hall 'I -4 2bw'
_cell_length_a 6.319
_cell_length_b 6.319
_cell_length_c 13.522
_cell_angle_alpha 90.00
_cell_angle_beta 90.00
_cell_angle_gamma 90.00
loop_
_atom_site_label
_atom_site_type_symbol
_atom_site_fract_x
_atom_site_fract_y
_atom_site_fract_z
Cd1 Cd 0.225 0.250 0.125
Sb1 Sb 0.000 0.000 0.000
Br1 Br 0.000 0.000 0.500
```

=====

# 5
A plane-wave DFT calculation with GGA-PBEsol was carried out for a geometry-optimized Pt4W5 structure.

Properties
ΔE_f ... -0.152 eV/atom
Magnetization ... 0.00 Bohr magnetons per cell
Uncorrected energy ... -10.918 eV per atom

```
data_Pt4W5
_chemical_formula_sum 'Pt8 W10'
_space_group_name_H-M_alt 'I 4/m m m'
_space_group_IT_number 139
_space_group_name_Hall '-I 4 2'
_cell_length_a 8.385
_cell_length_b 8.385
_cell_length_c 3.899
_cell_angle_alpha 90.00
_cell_angle_beta 90.00
_cell_angle_gamma 90.00
loop_
_atom_site_label
_atom_site_type_symbol
_atom_site_fract_x
_atom_site_fract_y
_atom_site_fract_z
Pt1 Pt 0.000 0.326 0.000
W1 W 0.000 0.000 0.000
W2 W 0.170 0.170 0.500
```

=====

# 6
A plane-wave DFT calculation with GGA-PBEsol was carried out for a geometry-optimized ZrTa2Cd structure.

Properties
ΔE_f ... 0.199 eV/atom
Magnetization ... 0.00 Bohr magnetons per cell
Uncorrected energy ... -8.648 eV per atom

```
data_ZrTa2Cd
_chemical_formula_sum 'Zr1 Ta2 Cd1'
_space_group_name_H-M_alt 'P 4/m m m'
_space_group_IT_number 123
_space_group_name_Hall '-P 4 2'
_cell_length_a 2.830
_cell_length_b 2.830
_cell_length_c 9.475
_cell_angle_alpha 90.00
_cell_angle_beta 90.00
_cell_angle_gamma 90.00
loop_
_atom_site_label
_atom_site_type_symbol
_atom_site_fract_x
_atom_site_fract_y
_atom_site_fract_z
Zr1 Zr 0.000 0.000 0.000
Ta1 Ta 0.500 0.500 0.254
Cd1 Cd 0.000 0.000 0.500
```